! YPa2NbC4 PBE-GGA relaxed; values from VASP
&SYSTEM
  ibrav = 0, nat = 16, ntyp = 4
/
ATOMIC_SPECIES
C 12.01 C.upf
Pa 231.04 Pa.upf
Y 88.91 Y.upf
Nb 92.91 Nb.upf
CELL_PARAMETERS angstrom
6.9818 -0.0031 -0.0684
-0.0080 6.9818 -0.0684
-3.4909 -3.4933 5.0019
ATOMIC_POSITIONS angstrom
C 1.7759 1.8125 4.8218
C 0.0963 3.4605 2.4841
C 1.7110 5.3378 -0.0169
C 3.4131 3.4510 2.4759
C 0.0698 0.0345 2.3892
C 1.7720 -1.8524 4.8820
C 3.3867 0.0249 2.3811
C 1.7071 1.6729 0.0433
Pa 3.4869 3.4894 -0.0684
Pa -1.7454 -1.7467 2.5010
Pa 0.0000 -3.4948 4.9677
Pa 1.7455 -1.7482 2.4668
Y -0.0040 3.4909 -0.0342
Y -1.7494 1.7442 2.4668
Nb 3.4909 -3.4964 4.9335
Nb 1.7414 1.7427 2.4326
! **Energy of formation from the pure elements**: -39.5 kJ per mole of atoms
! **Magnetic moment**: 0.0 μB/f.u.

---

! Zr2PaNbC4 PBE-GGA relaxed; values from VASP
&SYSTEM
  ibrav = 0, nat = 16, ntyp = 4
/
ATOMIC_SPECIES
C 12.01 C.upf
Zr 91.22 Zr.upf
Pa 231.04 Pa.upf
Nb 92.91 Nb.upf
CELL_PARAMETERS angstrom
-2.6695 -2.0180 -0.2829
3.3848 -0.9831 -4.9925
5.8538 -8.5358 5.6496
ATOMIC_POSITIONS angstrom
C 4.8098 -9.4806 2.3069
C 2.9269 -4.2679 2.8248
C 1.7593 -2.0563 -1.9328
C 3.3085 -7.2915 0.8581
C 0.2093 -3.2212 1.0692
C 6.3598 -8.3157 -0.6951
C 3.2606 -4.2454 -0.4840
C 0.0000 0.0000 0.0000
Zr -0.6070 -1.8071 -1.3150
Zr 4.6233 -6.0073 -0.7747
Zr 1.9458 -5.5296 1.1488
Zr 7.1761 -9.7298 1.6891
Pa 4.9492 -6.9449 2.8377
Pa 1.6199 -4.5920 -2.4636
Nb 4.5698 -8.8823 0.3036
Nb 1.9993 -2.6547 0.0705
! **Energy of formation from the pure elements**: -31.5 kJ per mole of atoms
! **Magnetic moment**: 0.0 μB/f.u.

---

! ZrPa2NbC4 PBE-GGA relaxed; values from VASP
&SYSTEM
  ibrav = 0, nat = 8, ntyp = 4
/
ATOMIC_SPECIES
C 12.01 C.upf
Pa 231.04 Pa.upf
Nb 92.91 Nb.upf
Zr 91.22 Zr.upf
CELL_PARAMETERS angstrom
-3.0548 -1.1329 -0.9509
-1.5574 -0.5464 5.6540
-1.4562 5.5277 -1.9077
ATOMIC_POSITIONS angstrom
C -1.5099 0.8794 3.8028
C -3.8375 3.2756 2.3683
C -2.2309 0.5728 0.4271
C -1.5037 4.1020 -0.0565
Pa -2.2555 2.1974 -1.4293
Pa -1.5068 2.4907 1.8732
Nb 0.0000 0.0000 0.0000
Zr -2.3061 -0.8396 2.3516
! **Energy of formation from the pure elements**: -53.8 kJ per mole of atoms
! **Magnetic moment**: 0.0 μB/f.u.

---

! ZrPaNb2C4 PBE-GGA relaxed; values from VASP
&SYSTEM
  ibrav = 0, nat = 8, ntyp = 4
/
ATOMIC_SPECIES
C 12.01 C.upf
Nb 92.91 Nb.upf
Zr 91.22 Zr.upf
Pa 231.04 Pa.upf
CELL_PARAMETERS angstrom
-0.9036 3.1558 0.2167
-2.5206 -1.0739 5.1296
3.8587 0.8161 4.2070
ATOMIC_POSITIONS angstrom
C -1.4220 0.9597 5.0667
C 0.9086 -0.2244 7.0587
C -0.4742 3.1224 2.4945
C 1.8565 1.9383 4.4866
Nb 1.4775 1.9860 2.2118
Nb 3.8587 0.8161 4.2070
Zr 0.6691 -0.1289 4.6683
Pa -1.7121 1.0410 2.6731
! **Energy of formation from the pure elements**: -54.3 kJ per mole of atoms
! **Magnetic moment**: 0.0 μB/f.u.

---

! ZrPaNbC3 PBE-GGA relaxed; values from VASP
&SYSTEM
  ibrav = 0, nat = 12, ntyp = 4
/
ATOMIC_SPECIES
C 12.01 C.upf
Zr 91.22 Zr.upf
Pa 231.04 Pa.upf
Nb 92.91 Nb.upf
CELL_PARAMETERS angstrom
-0.5812 -0.9520 -3.1697
5.4100 -1.9752 -0.3988
-4.3628 -6.9609 2.8907
ATOMIC_POSITIONS angstrom
C -1.3701 -6.8774 1.4263
C 1.3583 -7.9276 1.2414
C 1.8361 -3.0107 -2.1041
C -1.2948 -4.7585 -1.0050
C 1.7607 -5.1296 0.3272
C -0.8923 -1.9605 -1.9192
Zr -3.3335 -7.7899 0.2793
Zr 3.7995 -2.0982 -0.9571
Pa 0.4179 -3.0723 -0.0445
Pa 0.0480 -6.8158 -0.6334
Nb 2.6756 -4.9606 -1.6724
Nb -2.2097 -4.9275 0.9946
! **Energy of formation from the pure elements**: -53.2 kJ per mole of atoms
! **Magnetic moment**: 0.0 μB/f.u.

---

! NbPb3C PBE-GGA relaxed; values from VASP
&SYSTEM
  ibrav = 0, nat = 5, ntyp = 3
/
ATOMIC_SPECIES
Pb 207.20 Pb.upf
Nb 92.91 Nb.upf
C 12.01 C.upf
CELL_PARAMETERS angstrom
-3.3460 2.1026 2.8829
-2.2495 -4.3108 0.5331
2.7698 -0.9611 3.9157
ATOMIC_POSITIONS angstrom
Pb 1.3849 -0.4806 1.9578
Pb -1.1248 -2.1554 0.2666
Pb -1.6730 1.0513 1.4415
Nb -1.4129 -1.5847 3.6659
C 0.0000 0.0000 0.0000
! **Energy of formation from the pure elements**: 140.0 kJ per mole of atoms
! **Magnetic moment**: 0.0 μB/f.u.
! **ΔE to the lowest computed polymorph**: 0 meV/atom

---

! NbPb3C PBE-GGA relaxed; values from VASP
&SYSTEM
  ibrav = 0, nat = 5, ntyp = 3
/
ATOMIC_SPECIES
Pb 207.20 Pb.upf
Nb 92.91 Nb.upf
C 12.01 C.upf
CELL_PARAMETERS angstrom
5.5127 0.0000 0.0000
0.0000 5.5127 0.0000
0.0000 0.0000 5.5127
ATOMIC_POSITIONS angstrom
Pb 0.0000 2.7563 0.0000
Pb 0.0000 0.0000 2.7563
Pb 2.7563 0.0000 0.0000
Nb 0.0000 0.0000 0.0000
C 2.7563 2.7563 2.7563
! **Energy of formation from the pure elements**: 165.8 kJ per mole of atoms
! **Magnetic moment**: 2.4 μB/f.u.
! **ΔE to the lowest computed polymorph**: 268 meV/atom

---

! NbPbC2 PBE-GGA relaxed; values from VASP
&SYSTEM
  ibrav = 0, nat = 8, ntyp = 3
/
ATOMIC_SPECIES
Nb 92.91 Nb.upf
Pb 207.20 Pb.upf
C 12.01 C.upf
CELL_PARAMETERS angstrom
-1.4952 1.7214 -4.8217
2.7283 -3.9826 -2.2678
-3.4142 -4.0168 -3.3252
ATOMIC_POSITIONS angstrom
Nb -0.0347 -4.5650 -4.5689
Nb 0.6165 -1.1306 -3.5448
Pb 0.0000 0.0000 0.0000
Pb -2.1464 -1.7130 -5.8458
C 0.5730 -3.1725 -3.1473
C -1.9308 -4.1050 -5.2916
C -1.6491 -4.7468 -8.5581
C -1.3553 -0.5318 -3.8325
! **Energy of formation from the pure elements**: 82.1 kJ per mole of atoms
! **Magnetic moment**: 0.0 μB/f.u.

---

! NbRe2PbC PBE-GGA relaxed; values from VASP
&SYSTEM
  ibrav = 0, nat = 5, ntyp = 4
/
ATOMIC_SPECIES
Pb 207.20 Pb.upf
C 12.01 C.upf
Re 186.21 Re.upf
Nb 92.91 Nb.upf
CELL_PARAMETERS angstrom
-4.0734 0.4775 0.9669
-1.1180 -1.9121 -3.7657
0.0116 -3.7585 1.9050
ATOMIC_POSITIONS angstrom
Pb -2.5899 -2.5965 -0.4469
C 0.0000 0.0000 0.0000
Re -2.0367 0.2388 0.4834
Re 0.0058 -1.8793 0.9525
Nb -0.5590 -0.9560 -1.8828
! **Energy of formation from the pure elements**: 47.4 kJ per mole of atoms
! **Magnetic moment**: 0.0 μB/f.u.

---

! NbTcPbC2 PBE-GGA relaxed; values from VASP
&SYSTEM
  ibrav = 0, nat = 5, ntyp = 4
/
ATOMIC_SPECIES
Tc 98.00 Tc.upf
C 12.01 C.upf
Nb 92.91 Nb.upf
Pb 207.20 Pb.upf
CELL_PARAMETERS angstrom
4.0614 0.0000 0.0000
0.0000 5.2406 0.0000
0.0000 0.0000 4.0614
ATOMIC_POSITIONS angstrom
Tc 0.0000 0.0000 0.0000
C 2.0307 0.0000 0.0000
C 0.0000 0.0000 2.0307
Nb 0.0000 2.6203 0.0000
Pb 2.0307 2.6203 2.0307
! **Energy of formation from the pure elements**: 137.3 kJ per mole of atoms
! **Magnetic moment**: 0.0 μB/f.u.

---

Look up the magnetic moment of the tenth one.
0.0 μB/f.u.